1.
This record from Alexandria describes FeCoCuIr after structural relaxation. The functional is PBE.

For the spin magnetization, the calculation gives 5.15 μB per cell. The value obtained for the formation energy is 0.106 eV/atom. The final energy comes out at -7.026 eV/atom. As for the space group: F-43m.

Cell lengths 4.144, 4.144, 4.144 Å; angles 60.00, 60.00, 60.00 degrees
Atoms (fractional coordinates):
Co 0.750 0.750 0.750
Ir 0.250 0.250 0.250
Cu 0.500 0.500 0.500
Fe 0.000 0.000 0.000



2.
This record from Alexandria describes KFeCoCu2 after structural relaxation. The functional is PBE.

For the spin magnetization, the calculation gives 4.52 μB per cell. The value obtained for the formation energy is 2.248 eV/atom. The final energy comes out at -2.724 eV/atom. As for the space group: P4/mmm.

Cell lengths 4.719, 4.522, 4.719 Å; angles 90.00, 90.00, 90.00 degrees
Atoms (fractional coordinates):
K 0.000 0.000 0.000
Cu 0.500 0.000 0.000
Co 0.000 0.500 0.000
Fe 0.500 0.500 0.500
Cu 0.000 0.000 0.500



> Among the records above, which one has the highest final energy?

KFeCoCu2